Record 1
The following is a PBE-GGA calculation of a relaxed structure of PmIn2Ag, from Alexandria via LeMat-Bulk.

spin magnetization	0.00	μB/atom
E_form	-349	meV per atom
final energy	-14.47	eV per cell

Lattice parameters (Å, degrees): 4.6699 4.6699 4.5168 90.00 90.00 90.00
Last column: nearest neighbours and their distance in Å.
Space group P4/mmm (No. 123)
One atom of each set of equivalent atoms:
Pm: 0.0000 0.0000 0.0000 [1 per cell]  8 In 3.25, 4 Ag 3.30
In: 0.0000 0.5000 0.5000 [2 per cell]  4 Pm 3.25, 4 Ag 3.25, 4 In 3.30
Ag: 0.5000 0.5000 0.0000 [1 per cell]  8 In 3.25, 4 Pm 3.30



Record 2
The following is a PBE-GGA calculation of a relaxed structure of SiAg2F7, from Alexandria via LeMat-Bulk.

spin magnetization	0.00	μB/atom
final energy	-178.72	eV per cell
formation energy without anion corrections	-2046	meV per atom

Lattice parameters (Å, degrees): 11.6485 7.8509 7.7299 90.00 126.53 90.00
Last column: nearest neighbours and their distance in Å.
Space group C2/c (No. 15)
One atom of each set of equivalent atoms:
Si: 0.0000 0.2221 0.2500 [4 per cell]  6 F 1.68-1.74
Ag: 0.1876 0.2931 0.7816 [8 per cell]  2 F 2.05-2.14
F: 0.0000 0.2890 0.7500 [4 per cell]  2 Ag 2.05
F: 0.0984 0.3819 0.4378 [8 per cell]  1 Si 1.74
F: 0.1029 0.0754 0.4404 [8 per cell]  1 Si 1.68
F: 0.1134 0.2313 0.1731 [8 per cell]  1 Si 1.74



Record 3
The following is a PBE-GGA calculation of a relaxed structure of DyTe2H, from Alexandria via LeMat-Bulk.

spin magnetization	0.00	μB/atom
final energy	-51.60	eV per cell

Lattice parameters (Å, degrees): 4.5038 4.5038 21.6942 90.00 90.00 120.00
Last column: nearest neighbours and their distance in Å.
Space group R-3m (No. 166, hexagonal axes)
One atom of each set of equivalent atoms:
Dy: 0.0000 0.0000 0.0000 [3 per cell]  6 Te 3.09
Te: 0.0000 0.0000 0.4101 [6 per cell]  1 H 1.95
H: 0.0000 0.0000 0.5000 [3 per cell]  2 Te 1.95



Record 4
The following is a PBE-GGA calculation of a relaxed structure of Sm4YSe4, from Alexandria via LeMat-Bulk.

spin magnetization	0.00	μB/atom
final energy	-106.84	eV per cell
formation energy without anion corrections	-1571	meV per atom

Lattice parameters (Å, degrees): 9.1571 9.1571 5.8665 90.00 90.00 90.00
Last column: nearest neighbours and their distance in Å.
Space group I4/m (No. 87)
One atom of each set of equivalent atoms:
Sm: 0.0999 0.2969 0.0000 [8 per cell]  5 Se 2.90-2.93
Y: 0.0000 0.0000 0.5000 [2 per cell]  4 Se 2.87
Se: 0.0962 0.2981 0.5000 [8 per cell]  1 Y 2.87, 5 Sm 2.90-2.93



Record 5
The following is a PBE-GGA calculation of a relaxed structure of Ir7Pb6, from Alexandria via LeMat-Bulk.

spin magnetization	0.00	μB/atom
E_form	346	meV per atom
final energy	-239.33	eV per cell

Lattice parameters (Å, degrees): 5.4585 5.4585 33.5129 90.00 90.00 120.00
Last column: nearest neighbours and their distance in Å.
Space group R-3m (No. 166, hexagonal axes)
One atom of each set of equivalent atoms:
Ir: 0.0000 0.0000 0.0000 [3 per cell]  6 Ir 2.69
Ir: 0.0112 0.5056 0.3972 [18 per cell]  5 Ir 2.64-2.82, 1 Pb 2.86
Pb: 0.0000 0.0000 0.1341 [6 per cell]  3 Ir 2.86
Pb: 0.0000 0.0000 0.3503 [6 per cell]  12 Ir 3.11-3.20, 4 Pb 3.17-3.35
Pb: 0.0000 0.0000 0.4449 [6 per cell]  6 Ir 3.16, 4 Pb 3.17-3.24



Record 6
The following is a PBE-GGA calculation of a relaxed structure of TmTlInHg, from Alexandria via LeMat-Bulk.

spin magnetization	0.00	μB/atom
E_form	-264	meV per atom
final energy	-10.93	eV per cell

Lattice parameters (Å, degrees): 4.6046 4.6052 4.6822 90.00 90.00 90.00
Last column: nearest neighbours and their distance in Å.
Space group Pmmm (No. 47)
One atom of each set of equivalent atoms:
Tm: 0.0000 0.0000 0.0000 [1 per cell]  4 Tl 3.26, 4 Hg 3.28, 4 In 3.28
Tl: 0.5000 0.5000 0.0000 [1 per cell]  4 Tm 3.26, 4 In 3.28, 4 Hg 3.28
In: 0.0000 0.5000 0.5000 [1 per cell]  4 Hg 3.26, 4 Tl 3.28, 4 Tm 3.28
Hg: 0.5000 0.0000 0.5000 [1 per cell]  4 In 3.26, 4 Tm 3.28, 4 Tl 3.28



Record 7
The following is a PBE-GGA calculation of a relaxed structure of CaSmInPb, from Alexandria via LeMat-Bulk.

spin magnetization	0.00	μB/atom
E_form	-484	meV per atom
final energy	-15.10	eV per cell

Lattice parameters (Å, degrees): 4.4989 5.0691 5.0808 90.00 90.00 90.00
Last column: nearest neighbours and their distance in Å.
Space group Pmmm (No. 47)
One atom of each set of equivalent atoms:
Ca: 0.0000 0.0000 0.0000 [1 per cell]  4 In 3.39, 4 Pb 3.39, 4 Sm 3.59
Sm: 0.0000 0.5000 0.5000 [1 per cell]  4 Pb 3.39, 4 In 3.39, 4 Ca 3.59
In: 0.5000 0.5000 0.0000 [1 per cell]  4 Ca 3.39, 4 Sm 3.39, 4 Pb 3.59
Pb: 0.5000 0.0000 0.5000 [1 per cell]  4 Sm 3.39, 4 Ca 3.39, 4 In 3.59



Record 8
The following is a PBE-GGA calculation of a relaxed structure of Sc2TiSb, from Alexandria via LeMat-Bulk.

spin magnetization	0.00	μB/atom
final energy	-72.66	eV per cell
formation energy without anion corrections	115	meV per atom

Lattice parameters (Å, degrees): 3.2356 3.2356 31.7529 90.00 90.00 120.00
Last column: nearest neighbours and their distance in Å.
Space group R-3m (No. 166, hexagonal axes)
One atom of each set of equivalent atoms:
Sc: 0.0000 0.0000 0.0930 [6 per cell]  1 Sb 2.95, 3 Ti 2.99, 6 Sc 3.24
Ti: 0.0000 0.0000 0.5000 [3 per cell]  6 Sc 2.99, 6 Ti 3.24
Sb: 0.0000 0.0000 0.0000 [3 per cell]  2 Sc 2.95, 6 Sb 3.24



Record 9
The following is a PBE-GGA calculation of a relaxed structure of Th6Ir2RuAu3, from Alexandria via LeMat-Bulk.

spin magnetization	0.00	μB/atom
E_form	-757	meV per atom
final energy	-180.85	eV per cell

Lattice parameters (Å, degrees): 18.8478 4.1176 8.7230 90.00 107.71 90.00
Last column: nearest neighbours and their distance in Å.
Space group C2/m (No. 12)
One atom of each set of equivalent atoms:
Th: 0.0050 0.0000 0.2298 [4 per cell]  2 Ru 2.85, 1 Ir 2.90, 3 Au 3.15
Th: 0.1575 0.5000 0.0989 [4 per cell]  1 Ru 2.83, 2 Ir 2.88, 3 Au 3.14-3.15
Th: 0.1733 0.5000 0.5690 [4 per cell]  3 Ir 2.87-2.88, 3 Au 3.13-3.14
Ir: 0.1663 0.0000 0.3352 [4 per cell]  6 Th 2.87-2.90
Ru: 0.0000 0.5000 0.0000 [2 per cell]  6 Th 2.83-2.85
Au: 0.0000 0.5000 0.5000 [2 per cell]  6 Th 3.14-3.15
Au: 0.1687 0.0000 0.8360 [4 per cell]  6 Th 3.13-3.15



Record 10
The following is a PBE-GGA calculation of a relaxed structure of LiZnRu2, from Alexandria via LeMat-Bulk.

spin magnetization	0.00	μB/atom
E_form	5	meV per atom
final energy	-43.44	eV per cell

Lattice parameters (Å, degrees): 4.1983 4.1983 6.0676 90.00 90.00 90.00
Last column: nearest neighbours and their distance in Å.
Space group I-4m2 (No. 119)
One atom of each set of equivalent atoms:
Li: 0.0000 0.0000 0.0000 [2 per cell]  4 Ru 2.59, 4 Zn 2.59
Zn: 0.0000 0.5000 0.2500 [2 per cell]  4 Li 2.59, 4 Ru 2.59
Ru: 0.0000 0.0000 0.5000 [2 per cell]  4 Ru 2.59, 4 Zn 2.59
Ru: 0.0000 0.5000 0.7500 [2 per cell]  4 Li 2.59, 4 Ru 2.59



Record 11
The following is a PBE-GGA calculation of a relaxed structure of RbP2CS, from Alexandria via LeMat-Bulk.

spin magnetization	0.00	μB/atom
final energy	-19.56	eV per cell
formation energy without anion corrections	1115	meV per atom

Lattice parameters (Å, degrees): 4.2296 4.2296 5.3835 90.00 90.00 90.00
Last column: nearest neighbours and their distance in Å.
Space group P4/mmm (No. 123)
One atom of each set of equivalent atoms:
Rb: 0.0000 0.0000 0.0000 [1 per cell]  4 S 2.99
P: 0.0000 0.5000 0.5000 [2 per cell]  2 C 2.11
C: 0.5000 0.5000 0.5000 [1 per cell]  4 P 2.11
S: 0.5000 0.5000 0.0000 [1 per cell]  2 C 2.69, 4 Rb 2.99



> Look up the spin magnetization of the eleventh one.

0.00 μB/atom